VASP calculation (meta-GGA SCAN) on Tl2CdRe at its PBEsol-relaxed geometry.

Cell: 2.8599 4.7383 7.3011 Å, 108.93 101.29 90.00°
Closest atoms and distances in Å follow each position.
Positions (direct):
Cd (0.5671, 0.5671, 0.1342)  2 Re 2.85, 2 Cd 2.86
Re (0.2494, 0.7494, 0.4988)  6 Tl 2.77-2.94, 2 Cd 2.85, 2 Re 2.86
Tl (0.9393, 0.9393, 0.8786)  2 Tl 2.86, 2 Re 2.94
Tl (0.7442, 0.2442, 0.4884)  4 Re 2.77, 2 Tl 2.86

Energy of formation: 0.618 eV/atom
D(E_F): 2.01 states/eV/cell
Energy relative to the lowest polymorph listed for this composition: 0 meV per atom
Total magnetization: 0.00 μB/f.u.

=====

VASP calculation (meta-GGA SCAN) on Li2Sn2Hg at its PBEsol-relaxed geometry.

Cell: 3.1692 8.2230 8.2230 Å, 90.00 90.00 90.00°
Closest atoms and distances in Å follow each position.
Positions (direct):
Li (0.5000, 0.1786, 0.6786)  6 Sn 2.78-2.99
Li (0.5000, 0.6786, 0.8214)  6 Sn 2.78-2.99
Li (0.5000, 0.8214, 0.3214)  6 Sn 2.78-2.99
Li (0.5000, 0.3214, 0.1786)  6 Sn 2.78-2.99
Hg (0.0000, 0.0000, 0.0000)  2 Hg 3.17, 4 Sn 3.25, 8 Li 3.41
Hg (0.0000, 0.5000, 0.5000)  2 Hg 3.17, 4 Sn 3.25, 8 Li 3.41
Sn (0.0000, 0.3755, 0.8755)  6 Li 2.78-2.99, 1 Sn 2.90
Sn (0.0000, 0.8755, 0.6245)  6 Li 2.78-2.99, 1 Sn 2.90
Sn (0.0000, 0.6245, 0.1245)  6 Li 2.78-2.99, 1 Sn 2.90
Sn (0.0000, 0.1245, 0.3755)  6 Li 2.78-2.99, 1 Sn 2.90

Energy of formation: -0.241 eV/atom
D(E_F): 3.15 states/eV/cell
Total magnetization: 0.00 μB/f.u.

=====

VASP calculation (meta-GGA SCAN) on Na7Zr6F31 at its PBEsol-relaxed geometry.

Cell: 8.5302 8.5302 8.5302 Å, 107.27 107.27 107.27°
Closest atoms and distances in Å follow each position.
Positions (direct):
Na (0.1901, 0.7207, 0.5790)  7 F 2.29-2.50
Na (0.2853, 0.4353, 0.8160)  7 F 2.32-2.51
Na (0.4353, 0.8160, 0.2853)  7 F 2.32-2.51
Na (0.5036, 0.5036, 0.5036)  6 F 2.42-2.48
Na (0.5790, 0.1901, 0.7207)  7 F 2.29-2.50
Na (0.7207, 0.5790, 0.1901)  7 F 2.29-2.50
Na (0.8160, 0.2853, 0.4353)  7 F 2.32-2.51
Zr (0.0427, 0.3788, 0.1299)  8 F 2.03-2.16
Zr (0.1299, 0.0427, 0.3788)  8 F 2.03-2.16
Zr (0.6426, 0.8729, 0.9553)  8 F 2.06-2.24
Zr (0.3788, 0.1299, 0.0427)  8 F 2.03-2.16
Zr (0.8729, 0.9553, 0.6426)  8 F 2.06-2.24
Zr (0.9553, 0.6426, 0.8729)  8 F 2.06-2.24
F (0.2106, 0.8464, 0.9489)  2 Zr 2.10-2.16
F (0.0562, 0.5228, 0.7044)  1 Zr 2.06
F (0.0449, 0.7920, 0.1575)  2 Zr 2.13-2.14
F (0.0252, 0.1553, 0.5604)  2 Zr 2.14-2.24, 1 F 2.38
F (0.3093, 0.9476, 0.4810)  1 Zr 2.03
F (0.4529, 0.9854, 0.8481)  2 Zr 2.13-2.22, 1 F 2.38
F (0.1575, 0.0449, 0.7920)  2 Zr 2.13-2.14
F (0.0952, 0.2500, 0.3039)  2 Zr 2.12
F (0.1553, 0.5604, 0.0252)  2 Zr 2.14-2.24, 1 F 2.38
F (0.2720, 0.5795, 0.3446)  1 Zr 2.03
F (0.4168, 0.6614, 0.7359)  1 Zr 2.06, 1 Na 2.29
F (0.3446, 0.2720, 0.5795)  1 Zr 2.03
F (0.4810, 0.3093, 0.9476)  1 Zr 2.03
F (0.2500, 0.3039, 0.0952)  2 Zr 2.12
F (0.6530, 0.8880, 0.7134)  2 Zr 2.11-2.13
F (0.3039, 0.0952, 0.2500)  2 Zr 2.12
F (0.7134, 0.6530, 0.8880)  2 Zr 2.11-2.13
F (0.5228, 0.7044, 0.0562)  1 Zr 2.06
F (0.6614, 0.7359, 0.4168)  1 Zr 2.06, 1 Na 2.29
F (0.9325, 0.9325, 0.9325)  9 F 2.39-2.66, 3 Zr 2.45
F (0.5795, 0.3446, 0.2720)  1 Zr 2.03
F (0.7359, 0.4168, 0.6614)  1 Zr 2.06, 1 Na 2.29
F (0.8481, 0.4529, 0.9854)  2 Zr 2.13-2.22, 1 F 2.38
F (0.8880, 0.7134, 0.6530)  2 Zr 2.11-2.13
F (0.8464, 0.9489, 0.2106)  2 Zr 2.10-2.16
F (0.5604, 0.0252, 0.1553)  2 Zr 2.14-2.24, 1 F 2.38
F (0.7044, 0.0562, 0.5228)  1 Zr 2.06
F (0.9854, 0.8481, 0.4529)  2 Zr 2.13-2.22, 1 F 2.38
F (0.9489, 0.2106, 0.8464)  2 Zr 2.10-2.16
F (0.9476, 0.4810, 0.3093)  1 Zr 2.03
F (0.7920, 0.1575, 0.0449)  2 Zr 2.13-2.14

E_form (uncorrected): -361 kJ per mole of atoms
D(E_F): 0.00 states/eV/cell
Total magnetization: 0.16 μB/f.u.

=====

VASP calculation (meta-GGA SCAN) on Mg4Te at its PBEsol-relaxed geometry.

Cell: 4.0047 4.0047 8.3493 Å, 103.88 103.88 90.00°
Closest atoms and distances in Å follow each position.
Positions (direct):
Mg (0.7500, 0.2500, 0.5000)  8 Mg 2.83-3.16
Mg (0.2500, 0.7500, 0.5000)  8 Mg 2.83-3.16
Mg (0.5942, 0.5942, 0.1885)  5 Mg 2.96-3.16, 4 Te 3.20
Mg (0.4058, 0.4058, 0.8115)  5 Mg 2.96-3.16, 4 Te 3.20
Te (0.0000, 0.0000, 0.0000)  8 Mg 3.20

E_form (uncorrected): 1 kJ per mole of atoms
D(E_F): 2.36 states/eV/cell
Energy relative to the lowest polymorph listed for this composition: 0 meV per atom
Total magnetization: 0.00 μB/f.u.

=====

VASP calculation (meta-GGA SCAN) on YZn2 at its PBEsol-relaxed geometry.

Cell: 4.0337 4.0337 7.9537 Å, 104.69 104.69 90.00°
Closest atoms and distances in Å follow each position.
Positions (direct):
Y (0.0000, 0.0000, 0.0000)  12 Zn 3.10-3.21
Y (0.2500, 0.7500, 0.5000)  12 Zn 3.10-3.21
Zn (0.6683, 0.1683, 0.3366)  3 Zn 2.39-2.43
Zn (0.8317, 0.3317, 0.6634)  3 Zn 2.39-2.43
Zn (0.4183, 0.4183, 0.8366)  3 Zn 2.39-2.43
Zn (0.5817, 0.5817, 0.1634)  3 Zn 2.39-2.43

Energy of formation: -0.458 eV/atom
D(E_F): 5.12 states/eV/cell
Total magnetization: 0.00 μB/f.u.

=====

VASP calculation (meta-GGA SCAN) on CaTe2As at its PBEsol-relaxed geometry.

Cell: 5.2811 5.2811 5.2811 Å, 60.00 60.00 60.00°
Closest atoms and distances in Å follow each position.
Positions (direct):
As (0.5000, 0.5000, 0.5000)  4 Te 3.23, 4 Ca 3.23
Te (0.0000, 0.0000, 0.0000)  4 Te 3.23, 4 Ca 3.23
Te (0.7500, 0.7500, 0.7500)  4 Te 3.23, 4 As 3.23
Ca (0.2500, 0.2500, 0.2500)  4 As 3.23, 4 Te 3.23

E_form (uncorrected): -16 kJ per mole of atoms
D(E_F): 4.10 states/eV/cell
Total magnetization: 0.00 μB/f.u.

=====

VASP calculation (meta-GGA SCAN) on Be3Ag at its PBEsol-relaxed geometry.

Cell: 3.4146 3.4146 7.4762 Å, 103.20 103.20 90.00°
Closest atoms and distances in Å follow each position.
Positions (direct):
Be (0.0000, 0.5000, 0.0000)  8 Be 2.41, 4 Ag 2.47
Be (0.5000, 0.0000, 0.0000)  8 Be 2.41, 4 Ag 2.47
Be (0.7500, 0.2500, 0.5000)  8 Be 2.41-2.51, 4 Ag 2.45
Be (0.2500, 0.7500, 0.5000)  8 Be 2.41-2.51, 4 Ag 2.45
Be (0.8797, 0.8797, 0.7594)  8 Be 2.41-2.51, 4 Ag 2.42
Be (0.1203, 0.1203, 0.2406)  8 Be 2.41-2.51, 4 Ag 2.42
Ag (0.6263, 0.6263, 0.2525)  12 Be 2.42-2.47
Ag (0.3737, 0.3737, 0.7475)  12 Be 2.42-2.47

Energy of formation: 0.105 eV/atom
D(E_F): 1.64 states/eV/cell
Energy relative to the lowest polymorph listed for this composition: 22 meV per atom
Total magnetization: 0.00 μB/f.u.

=====

VASP calculation (meta-GGA SCAN) on SrCrTe3 at its PBEsol-relaxed geometry.

Cell: 5.9810 5.9810 5.9810 Å, 90.00 90.00 90.00°
Closest atoms and distances in Å follow each position.
Positions (direct):
Sr (0.0000, 0.0000, 0.0000)  6 Te 2.99
Te (0.0000, 0.5000, 0.0000)  2 Sr 2.99
Te (0.0000, 0.0000, 0.5000)  2 Sr 2.99
Te (0.5000, 0.0000, 0.0000)  2 Sr 2.99
Cr (0.5000, 0.5000, 0.5000)  12 Te 4.23

E_form (uncorrected): 39 kJ per mole of atoms
D(E_F): 3.59 states/eV/cell
Total magnetization: 2.02 μB/f.u.

=====

VASP calculation (meta-GGA SCAN) on Sc2TaRh at its PBEsol-relaxed geometry.

Cell: 3.2476 4.6790 5.4767 Å, 115.29 107.25 90.00°
Closest atoms and distances in Å follow each position.
Positions (direct):
Rh (0.0000, 0.5000, 0.0000)  4 Sc 2.65, 4 Ta 2.85
Sc (0.7235, 0.7235, 0.4469)  2 Rh 2.65, 4 Sc 2.89
Sc (0.2765, 0.2765, 0.5531)  2 Rh 2.65, 4 Sc 2.89
Ta (0.5000, 0.0000, 0.0000)  4 Rh 2.85, 8 Sc 3.05-3.14

Energy of formation: -0.267 eV/atom
D(E_F): 3.88 states/eV/cell
Energy relative to the lowest polymorph listed for this composition: 0 meV per atom
Total magnetization: 0.00 μB/f.u.

=====

VASP calculation (meta-GGA SCAN) on CaCe2Te4 at its PBEsol-relaxed geometry.

Cell: 8.1195 8.1195 8.1195 Å, 109.82 109.82 108.77°
Closest atoms and distances in Å follow each position.
Positions (direct):
Ca (0.2500, 0.7500, 0.5000)  8 Te 3.15-3.36
Ca (0.0000, 0.0000, 0.0000)  8 Te 3.15-3.36
Ce (0.1250, 0.2499, 0.6249)  8 Te 3.17-3.32
Ce (0.7501, 0.3750, 0.8751)  8 Te 3.17-3.32
Ce (0.6250, 0.5001, 0.3751)  8 Te 3.17-3.32
Ce (0.4999, 0.8750, 0.1249)  8 Te 3.17-3.32
Te (0.3748, 0.1272, 0.4011)  2 Ca 3.15-3.36, 4 Ce 3.17-3.32
Te (0.3772, 0.1248, 0.9011)  2 Ca 3.15-3.36, 4 Ce 3.17-3.32
Te (0.5239, 0.6228, 0.7475)  2 Ca 3.15-3.36, 4 Ce 3.17-3.32
Te (0.8728, 0.2739, 0.2475)  2 Ca 3.15-3.36, 4 Ce 3.17-3.32
Te (0.2237, 0.4761, 0.0989)  2 Ca 3.15-3.36, 4 Ce 3.17-3.32
Te (0.8752, 0.7763, 0.2525)  2 Ca 3.15-3.36, 4 Ce 3.17-3.32
Te (0.0263, 0.6252, 0.7525)  2 Ca 3.15-3.36, 4 Ce 3.17-3.32
Te (0.7261, 0.9737, 0.5989)  2 Ca 3.15-3.36, 4 Ce 3.17-3.32

E_form (uncorrected): -157 kJ per mole of atoms
D(E_F): 0.16 states/eV/cell
Total magnetization: 2.00 μB/f.u.

=====

VASP calculation (meta-GGA SCAN) on ZnP at its PBEsol-relaxed geometry.

Cell: 2.6180 2.6180 9.6747 Å, 90.00 90.00 120.00°
Closest atoms and distances in Å follow each position.
Positions (direct):
P (0.3333, 0.6667, 0.1260)  9 P 2.62-2.87, 3 Zn 2.84
P (0.6667, 0.3333, 0.8740)  9 P 2.62-2.87, 3 Zn 2.84
Zn (0.3333, 0.6667, 0.6258)  9 Zn 2.62-2.87, 3 P 2.84
Zn (0.6667, 0.3333, 0.3742)  9 Zn 2.62-2.87, 3 P 2.84

Energy of formation: 0.497 eV/atom
D(E_F): 1.41 states/eV/cell
Total magnetization: 0.00 μB/f.u.

=====

VASP calculation (meta-GGA SCAN) on TcPt8 at its PBEsol-relaxed geometry.

Cell: 3.8855 6.1753 6.1753 Å, 84.32 71.66 71.66°
Closest atoms and distances in Å follow each position.
Positions (direct):
Tc (0.0000, 0.0000, 0.0000)  12 Pt 2.72-2.73
Pt (0.0000, 0.6706, 0.3294)  1 Tc 2.73, 11 Pt 2.74-2.83
Pt (0.0000, 0.3294, 0.6706)  1 Tc 2.73, 11 Pt 2.74-2.83
Pt (0.3294, 0.6706, 0.6706)  1 Tc 2.73, 11 Pt 2.74-2.83
Pt (0.3375, 0.3249, 0.0000)  10 Pt 2.69-2.83, 2 Tc 2.72
Pt (0.3375, 0.0000, 0.3249)  10 Pt 2.69-2.83, 2 Tc 2.72
Pt (0.6706, 0.3294, 0.3294)  1 Tc 2.73, 11 Pt 2.74-2.83
Pt (0.6625, 0.0000, 0.6751)  10 Pt 2.69-2.83, 2 Tc 2.72
Pt (0.6625, 0.6751, 0.0000)  10 Pt 2.69-2.83, 2 Tc 2.72

Energy of formation: -0.055 eV/atom
D(E_F): 10.80 states/eV/cell
Total magnetization: 2.78 μB/f.u.

=====

VASP calculation (meta-GGA SCAN) on Sc3AsW at its PBEsol-relaxed geometry.

Cell: 4.9443 4.9443 4.9443 Å, 90.00 90.00 90.00°
Closest atoms and distances in Å follow each position.
Positions (direct):
Sc (0.0000, 0.5000, 0.0000)  2 W 2.47
Sc (0.0000, 0.0000, 0.5000)  2 W 2.47
Sc (0.5000, 0.0000, 0.0000)  2 W 2.47
As (0.5000, 0.5000, 0.5000)  12 Sc 3.50
W (0.0000, 0.0000, 0.0000)  6 Sc 2.47

Energy of formation: 0.494 eV/atom
D(E_F): 3.00 states/eV/cell
Total magnetization: 0.00 μB/f.u.

=====

no.,energy (hartree per atom)
1,-2.239
2,-1.073
3,-0.407
4,-0.420
5,-0.689
6,-0.965
7,-0.404
8,-1.105
9,-1.193
10,-1.361
11,-0.421
12,-2.438
13,-0.956